Version one
Material: SiAg2HgTe2S2
Method: DFT, GGA-PBE
State: optimized geometry

Geometry as POSCAR:
```
SiAg2HgTe2S2
1.0
0.000 4.377 5.878
4.352 0.000 5.878
4.352 4.377 0.000
Si Ag Hg Te S
1 2 1 2 2
direct
0.000 0.000 0.000
0.297 0.297 0.203
0.797 0.797 0.703
0.545 0.545 0.455
0.363 0.932 0.068
0.932 0.363 0.637
0.116 0.696 0.884
0.696 0.116 0.304
```



Version two
Material: SiAg2HgTe2S2
Method: DFT, GGA-PBE
State: optimized geometry

Geometry as POSCAR:
```
SiAg2HgTe2S2
1.0
13.312 0.000 0.000
0.000 6.019 0.000
-2.547 0.000 5.427
Si Ag Hg Te S
2 4 2 4 4
direct
0.000 0.000 0.000
0.500 0.500 0.000
0.247 0.933 0.812
0.253 0.433 0.188
0.747 0.433 0.812
0.753 0.933 0.188
0.000 0.492 0.500
0.500 0.992 0.500
0.135 0.745 0.339
0.365 0.245 0.661
0.635 0.245 0.339
0.865 0.745 0.661
0.104 0.184 0.873
0.396 0.684 0.127
0.604 0.684 0.873
0.896 0.184 0.127
```



In order of decreasing stability: version two, version one.